Record 1
# InNiPb4

An optimized crystal structure of InNiPb4 (PBE-GGA, the Alexandria database).

## Properties
For the formation energy, the calculation gives 0.5685 eV/atom.

Lattice parameters (Å, degrees): 6.4043 6.4043 6.4043 60.00 60.00 60.00
Sites, in units of the cell vectors:
1 In 0.0000 0.0000 0.0000
2 Ni 0.2500 0.2500 0.2500
3 Pb 0.1263 0.6246 0.6246
4 Pb 0.6246 0.1263 0.6246
5 Pb 0.6246 0.6246 0.1263
6 Pb 0.6246 0.6246 0.6246

Record 2
# InNi2Pb

An optimized crystal structure of InNi2Pb (PBE-GGA, the Alexandria database).

## Properties
The calculation puts the relative energy among the computed polymorphs at 4.63 kcal/mol of atoms. For the formation energy, the calculation gives 0.2562 eV/atom.

Lattice parameters (Å, degrees): 8.0404 8.0404 8.0404 23.53 23.53 23.53
Sites, in units of the cell vectors:
1 In 0.0000 0.0000 0.0000
2 Ni 0.2530 0.2530 0.2530
3 Ni 0.7470 0.7470 0.7470
4 Pb 0.5000 0.5000 0.5000

Record 3
# InNi2Pb

An optimized crystal structure of InNi2Pb (PBE-GGA, the Alexandria database).

## Properties
The calculation puts the relative energy among the computed polymorphs at 7.87 kcal/mol of atoms. For the formation energy, the calculation gives 0.3967 eV/atom.

Lattice parameters (Å, degrees): 5.8764 5.8764 5.8764 105.22 105.22 118.35
Sites, in units of the cell vectors:
1 In 0.0000 0.0000 0.0000
2 In 0.7500 0.2500 0.5000
3 Ni 0.1168 0.6250 0.9918
4 Ni 0.3750 0.3668 0.4918
5 Ni 0.6332 0.1250 0.0082
6 Ni 0.8750 0.8832 0.5082
7 Pb 0.2500 0.7500 0.5000
8 Pb 0.5000 0.5000 0.0000

Record 4
# InNi2Pb

An optimized crystal structure of InNi2Pb (PBE-GGA, the Alexandria database).

## Properties
The calculation puts the relative energy among the computed polymorphs at 0.00 kcal/mol of atoms. For the formation energy, the calculation gives 0.0556 eV/atom.

Lattice parameters (Å, degrees): 4.0404 5.3193 5.3193 38.18 90.00 90.00
Sites, in units of the cell vectors:
1 In 0.0000 0.0000 0.0000
2 Ni 0.0000 0.2873 0.2873
3 Ni 0.5000 0.4372 0.4372
4 Pb 0.5000 0.7111 0.7111

Record 5
# InNi2Pb2

An optimized crystal structure of InNi2Pb2 (PBE-GGA, the Alexandria database).

## Properties
For the formation energy, the calculation gives 0.3537 eV/atom.

Lattice parameters (Å, degrees): 6.1159 6.1159 6.1159 134.72 134.72 65.97
Sites, in units of the cell vectors:
1 In 0.0000 0.0000 0.0000
2 Ni 0.3865 0.3865 0.0000
3 Ni 0.6135 0.6135 0.0000
4 Pb 0.2500 0.7500 0.5000
5 Pb 0.7500 0.2500 0.5000

Record 6
# In2NiPb

An optimized crystal structure of In2NiPb (PBE-GGA, the Alexandria database).

## Properties
For the formation energy, the calculation gives 0.2936 eV/atom.

Lattice parameters (Å, degrees): 5.4456 5.4456 5.4456 130.47 130.47 72.66
Sites, in units of the cell vectors:
1 In 0.0000 0.0000 0.0000
2 In 0.7500 0.2500 0.5000
3 Ni 0.2500 0.7500 0.5000
4 Pb 0.5000 0.5000 0.0000

Record 7
# In2NiPb

An optimized crystal structure of In2NiPb (PBE-GGA, the Alexandria database).

## Properties
For the formation energy, the calculation gives 0.1448 eV/atom.

Lattice parameters (Å, degrees): 5.9640 5.9640 5.5259 116.49 116.49 32.19
Sites, in units of the cell vectors:
1 In 0.2043 0.2043 0.2034
2 In 0.7957 0.7957 0.7966
3 Ni 0.5000 0.5000 0.0000
4 Pb 0.0000 0.0000 0.5000

Record 8
# InNiPb2

An optimized crystal structure of InNiPb2 (PBE-GGA, the Alexandria database).

## Properties
For the formation energy, the calculation gives 0.0750 eV/atom.

Lattice parameters (Å, degrees): 7.5881 7.5881 7.5881 155.04 146.92 41.89
Sites, in units of the cell vectors:
1 In 0.0000 0.0000 0.0000
2 Ni 0.5000 0.5000 0.0000
3 Pb 0.3323 0.8323 0.5000
4 Pb 0.6677 0.1677 0.5000